Below is a relaxed CaSc2Cr crystal, with properties calculated at the PBE level.

a = 3.340 Å, b = 3.348 Å, c = 9.363 Å
α = 69.05°, β = 90.00°, γ = 90.00°
Each line ends with the local moment (μB).
Element x y z (fractional)
Sc  0.000  0.072  0.928  -0.14
Sc  0.000  0.428  0.572  -0.14
Cr  0.500  0.750  0.750  2.25
Ca  0.500  0.250  0.250  0.01

Properties
Its energy above the most stable polymorph in this dataset is 0 meV per atom. Its space group is No. 123. For the formation energy, the calculation gives 0.214 eV/atom. The value obtained for the uncorrected energy is -0.2153 Ha/atom.

---

Below is a relaxed CePa2Ga6 crystal, with properties calculated at the PBE level.

a = 3.428 Å, b = 7.873 Å, c = 7.873 Å
α = 120.00°, β = 90.00°, γ = 90.00°
Each line ends with the local moment (μB).
Element x y z (fractional)
Ce  0.000  0.000  0.000  0.52
Pa  0.000  0.333  0.667  0.14
Pa  0.000  0.667  0.333  0.14
Ga  0.500  0.335  0.335  0.00
Ga  0.500  0.665  0.665  0.00
Ga  0.500  0.000  0.665  0.00
Ga  0.500  0.665  0.000  0.00
Ga  0.500  0.335  0.000  0.00
Ga  0.500  0.000  0.335  0.00

Properties
Its energy above the most stable polymorph in this dataset is 0 meV per atom. Its space group is No. 191. For the formation energy, the calculation gives -0.389 eV/atom. The value obtained for the uncorrected energy is -0.1902 Ha/atom.

---

Below is a relaxed NaAgTeCl6 crystal, with properties calculated at the PBE level.

a = 6.858 Å, b = 6.858 Å, c = 12.025 Å
α = 90.00°, β = 90.00°, γ = 120.00°
Element x y z (fractional)
Na  0.333  0.667  0.250
Na  0.667  0.333  0.750
Ag  0.000  0.000  0.000
Ag  0.000  0.000  0.500
Te  0.667  0.333  0.250
Te  0.333  0.667  0.750
Cl  0.671  0.644  0.127
Cl  0.972  0.329  0.127
Cl  0.329  0.972  0.627
Cl  0.028  0.671  0.873
Cl  0.356  0.329  0.373
Cl  0.972  0.644  0.373
Cl  0.644  0.972  0.873
Cl  0.671  0.028  0.373
Cl  0.028  0.356  0.627
Cl  0.356  0.028  0.127
Cl  0.644  0.671  0.627
Cl  0.329  0.356  0.873

Properties
The uncorrected formation energy comes out at -0.821 eV per atom. Its space group is No. 163. The value obtained for the uncorrected energy is -0.1053 Ha/atom.

---

Below is a relaxed Ac2MnSi3Ir4 crystal, with properties calculated at the PBE level.

a = 4.231 Å, b = 4.231 Å, c = 10.471 Å
α = 90.00°, β = 90.00°, γ = 90.00°
Each line ends with the local moment (μB).
Element x y z (fractional)
Ac  0.500  0.000  0.253  0.00
Ac  0.000  0.500  0.747  0.00
Mn  0.500  0.500  0.500  3.37
Si  0.000  0.000  0.500  -0.04
Si  0.500  0.000  0.878  -0.01
Si  0.000  0.500  0.122  -0.01
Ir  0.500  0.500  0.000  -0.01
Ir  0.000  0.000  0.000  -0.02
Ir  0.500  0.000  0.636  0.03
Ir  0.000  0.500  0.364  0.03

Properties
The uncorrected formation energy comes out at -0.805 eV per atom. Its space group is No. 115. The value obtained for the uncorrected energy is -0.2835 Ha/atom.

---

Below is a relaxed KIn2O3 crystal, with properties calculated at the PBE level.

a = 3.373 Å, b = 6.881 Å, c = 12.299 Å
α = 90.00°, β = 90.00°, γ = 104.19°
Element x y z (fractional)
K  0.161  0.323  0.250
K  0.839  0.677  0.750
In  0.000  0.000  0.000
In  0.000  0.000  0.500
In  0.416  0.832  0.250
In  0.584  0.168  0.750
O  0.520  0.041  0.116
O  0.177  0.354  0.750
O  0.520  0.041  0.384
O  0.823  0.646  0.250
O  0.480  0.959  0.884
O  0.480  0.959  0.616

Properties
The uncorrected formation energy comes out at -1.274 eV per atom. Its space group is No. 63. The value obtained for the uncorrected energy is -0.1782 Ha/atom.

---

Below is a relaxed TbMgZnRu crystal, with properties calculated at the PBE level.

a = 4.748 Å, b = 4.748 Å, c = 4.748 Å
α = 60.00°, β = 60.00°, γ = 60.00°
Element x y z (fractional)
Ru  0.000  0.000  0.000
Zn  0.500  0.500  0.500
Tb  0.250  0.250  0.250
Mg  0.750  0.750  0.750

Properties
Its space group is No. 216. For the formation energy, the calculation gives -0.143 eV/atom. The value obtained for the uncorrected energy is -0.1594 Ha/atom.

---

Below is a relaxed Np2Te3As crystal, with properties calculated at the PBE level.

a = 4.260 Å, b = 4.260 Å, c = 8.870 Å
α = 90.00°, β = 90.00°, γ = 90.00°
Each line ends with the local moment (μB).
Element x y z (fractional)
Np  0.500  0.000  0.738  3.83
Np  0.000  0.500  0.262  3.83
Te  0.500  0.000  0.367  -0.12
Te  0.000  0.500  0.633  -0.12
Te  0.000  0.000  0.000  -0.06
As  0.500  0.500  0.000  -0.08

Properties
The uncorrected formation energy comes out at -0.643 eV per atom. Its space group is No. 115. The value obtained for the uncorrected energy is -0.2684 Ha/atom.

---

Below is a relaxed MnH2I5 crystal, with properties calculated at the PBE level.

a = 8.174 Å, b = 8.148 Å, c = 8.185 Å
α = 81.75°, β = 124.96°, γ = 124.84°
Each line ends with the local moment (μB).
Element x y z (fractional)
Mn  0.000  0.977  0.977  3.72
H  0.501  0.932  0.432  0.00
H  0.500  0.431  0.932  0.00
I  0.140  0.756  0.230  -0.03
I  0.474  0.231  0.090  -0.02
I  0.526  0.616  0.757  -0.03
I  0.859  0.091  0.617  -0.02
I  0.001  0.188  0.188  0.05

Properties
Its space group is No. 1. The value obtained for the uncorrected energy is -0.1119 Ha/atom.

---

- Which of these has the lowest uncorrected energy?
  Ac2MnSi3Ir4